First-principles (PBE) data for a relaxed PtSeO6 crystal, as listed in the Alexandria database. Values from VASP.

Values from the calculation:
Calculated total energy: -40.37 eV/cell
Space-group type: R-3 (148)
Formation energy from raw total energies: -136.5 meV/atom

Geometry as Quantum ESPRESSO input:
```
&SYSTEM
  ibrav = 0, nat = 8, ntyp = 3
/
ATOMIC_SPECIES
O 16.00 O.upf
Se 78.96 Se.upf
Pt 195.08 Pt.upf
ATOMIC_POSITIONS crystal
O 0.083 0.397 0.761
O 0.603 0.240 0.239
O 0.917 0.603 0.239
O 0.241 0.917 0.239
O 0.759 0.083 0.761
O 0.397 0.760 0.761
Se 0.000 0.000 0.000
Pt 0.500 0.500 0.500
CELL_PARAMETERS angstrom
4.837 0.006 0.006
2.413 4.192 0.009
2.411 1.394 4.240
```